Entry 1:
First-principles (meta-GGA SCAN) data for a crystal of KTaCl2 relaxed with PBEsol, as listed in Alexandria via LeMat-Bulk.

a = 3.2528 Å, b = 3.2528 Å, c = 27.2736 Å
α = 90.00°, β = 90.00°, γ = 120.00°
Space group R-3m (No. 166, hexagonal axes)
One atom of each set of equivalent atoms:
K 0.0000 0.0000 0.0000 (multiplicity 3)
Ta 0.0000 0.0000 0.5000 (multiplicity 3)
Cl 0.0000 0.0000 0.2314 (multiplicity 6)

Volume: 20.83 Å³/atom
Distance to the lowest polymorph of the same formula: 0.0086 eV/atom



Entry 2:
First-principles (meta-GGA SCAN) data for a crystal of Ho2IrAu relaxed with PBEsol, as listed in Alexandria via LeMat-Bulk.

a = 6.8741 Å, b = 6.8741 Å, c = 6.8741 Å
α = 90.00°, β = 90.00°, γ = 90.00°
Space group Fm-3m (No. 225)
One atom of each set of equivalent atoms:
Ho 0.2500 0.2500 0.2500 (multiplicity 8)
Ir 0.0000 0.0000 0.0000 (multiplicity 4)
Au 0.0000 0.0000 0.5000 (multiplicity 4)

Volume: 20.30 Å³/atom
Formation enthalpy at 0 K: -102.66 kJ per mole of atoms



Entry 3:
First-principles (meta-GGA SCAN) data for a crystal of TcRhN3 relaxed with PBEsol, as listed in Alexandria via LeMat-Bulk.

a = 3.7782 Å, b = 3.7782 Å, c = 3.7782 Å
α = 90.00°, β = 90.00°, γ = 90.00°
Space group Pm-3m (No. 221)
One atom of each set of equivalent atoms:
Tc 0.0000 0.0000 0.0000 (multiplicity 1)
Rh 0.5000 0.5000 0.5000 (multiplicity 1)
N 0.0000 0.5000 0.5000 (multiplicity 3)

Volume: 10.79 Å³/atom
DFT total energy: -17.73 eV/atom



Entry 4:
First-principles (meta-GGA SCAN) data for a crystal of LiTi3VO8 relaxed with PBEsol, as listed in Alexandria via LeMat-Bulk.

a = 5.8625 Å, b = 5.8625 Å, c = 14.8379 Å
α = 90.00°, β = 90.00°, γ = 120.00°
Space group R-3m (No. 166, hexagonal axes)
One atom of each set of equivalent atoms:
Li 0.0000 0.0000 0.0000 (multiplicity 3)
Ti 0.0000 0.5000 0.5000 (multiplicity 9)
V 0.0000 0.0000 0.5000 (multiplicity 3)
O 0.0000 0.0000 0.2332 (multiplicity 6)
O 0.0067 0.5033 0.7644 (multiplicity 18)

Volume: 11.32 Å³/atom
DFT total energy: -12.04 eV/atom



Entry 5:
First-principles (meta-GGA SCAN) data for a crystal of LiAgCl2 relaxed with PBEsol, as listed in Alexandria via LeMat-Bulk.

a = 3.5733 Å, b = 3.5733 Å, c = 6.1816 Å
α = 90.00°, β = 90.00°, γ = 90.00°
Space group P4mm (No. 99)
One atom of each set of equivalent atoms:
Li 0.0000 0.0000 0.0000 (multiplicity 1)
Ag 0.5000 0.5000 0.5186 (multiplicity 1)
Cl 0.0000 0.0000 0.3853 (multiplicity 1)
Cl 0.5000 0.5000 0.9299 (multiplicity 1)

Volume: 19.73 Å³/atom
DFT total energy: -13.68 eV/atom



Entry 6:
First-principles (meta-GGA SCAN) data for a crystal of CrFe2Ru relaxed with PBEsol, as listed in Alexandria via LeMat-Bulk.

a = 8.2483 Å, b = 2.5289 Å, c = 4.3555 Å
α = 90.00°, β = 100.19°, γ = 90.00°
Space group Cm (No. 8)
One atom of each set of equivalent atoms:
Cr 0.0000 0.0000 0.0000 (multiplicity 2)
Fe 0.0084 0.5000 0.5330 (multiplicity 2)
Fe 0.2558 0.0000 0.7698 (multiplicity 2)
Ru 0.2575 0.5000 0.2794 (multiplicity 2)

Volume: 11.18 Å³/atom
Formation enthalpy at 0 K: 18.39 kJ per mole of atoms